i:
## SiW2Br (PBE-GGA)

Data for crystalline SiW2Br at its relaxed geometry.

Summary:
The calculation puts the density of states at the Fermi level at 4.183 states/eV/cell. Its volume is 16.2 Å³ per atom. The total magnetization is 0.000 μB/f.u.

Cell: 8.819 8.819 8.819 Å, 19.20 19.20 19.20°
Positions (direct):
Si 0.000 0.000 0.000
W 0.254 0.254 0.254
W 0.746 0.746 0.746
Br 0.500 0.500 0.500

---

ii:
## SiW2Br (PBE-GGA)

Data for crystalline SiW2Br at its relaxed geometry.

Summary:
The calculation puts the density of states at the Fermi level at 3.886 states/eV/cell. Its volume is 15.4 Å³ per atom. The total magnetization is 0.000 μB/f.u.

Cell: 4.436 4.436 4.436 Å, 60.00 60.00 60.00°
Positions (direct):
Si 0.000 0.000 0.000
W 0.250 0.250 0.250
W 0.750 0.750 0.750
Br 0.500 0.500 0.500

---

iii:
## SiW2Br (PBE-GGA)

Data for crystalline SiW2Br at its relaxed geometry.

Summary:
The calculation puts the density of states at the Fermi level at 4.568 states/eV/cell. Its volume is 15.4 Å³ per atom. The total magnetization is 0.000 μB/f.u.

Cell: 4.476 4.476 3.067 Å, 90.00 90.00 90.00°
Positions (direct):
Si 0.000 0.000 0.000
W 0.000 0.500 0.500
W 0.500 0.000 0.500
Br 0.500 0.500 0.000

---

iv:
## SiW2Br (PBE-GGA)

Data for crystalline SiW2Br at its relaxed geometry.

Summary:
The calculation puts the density of states at the Fermi level at 2.867 states/eV/cell. Its volume is 17.6 Å³ per atom. The total magnetization is 0.000 μB/f.u.

Cell: 8.515 8.515 8.515 Å, 21.17 21.17 21.17°
Positions (direct):
Si 0.000 0.000 0.000
W 0.487 0.487 0.487
W 0.738 0.738 0.738
Br 0.232 0.232 0.232

---

Which one sits at the bottom of the stability order? iii does.

---

i:
## SiW2Br (PBE-GGA)

Data for crystalline SiW2Br at its relaxed geometry.

Summary:
The calculation puts the density of states at the Fermi level at 1.940 states/eV/cell. Its volume is 16.5 Å³ per atom. The total magnetization is 0.000 μB/f.u.

Cell: 4.723 4.723 4.856 Å, 105.14 105.14 39.22°
Positions (direct):
Si 0.000 0.000 0.000
W 0.476 0.476 0.412
W 0.730 0.730 0.084
Br 0.231 0.231 0.643

---

ii:
## SiW2Br (PBE-GGA)

Data for crystalline SiW2Br at its relaxed geometry.

Summary:
The calculation puts the density of states at the Fermi level at 2.154 states/eV/cell. Its volume is 18.5 Å³ per atom. The total magnetization is 0.000 μB/f.u.

Cell: 2.904 2.904 9.428 Å, 90.00 90.00 111.83°
Positions (direct):
Si 0.000 0.000 0.000
W 0.000 0.000 0.564
W 0.500 0.500 0.787
Br 0.500 0.500 0.331

---

iii:
## SiW2Br (PBE-GGA)

Data for crystalline SiW2Br at its relaxed geometry.

Summary:
The calculation puts the density of states at the Fermi level at 2.797 states/eV/cell. Its volume is 17.7 Å³ per atom. The total magnetization is 0.000 μB/f.u.

Cell: 6.116 6.116 6.116 Å, 153.10 136.45 51.93°
Positions (direct):
Si 0.000 0.000 0.000
W 0.198 0.698 0.500
W 0.802 0.302 0.500
Br 0.500 0.500 0.000

---

Which one sits at the bottom of the stability order? iii does.

---

i:
## SiWBr3 (PBE-GGA)

Data for crystalline SiWBr3 at its relaxed geometry.

Summary:
The calculation puts the density of states at the Fermi level at 4.841 states/eV/cell. Its volume is 28.6 Å³ per atom. The total magnetization is 5.086 μB/f.u.

Cell: 5.227 5.227 5.227 Å, 90.00 90.00 90.00°
Positions (direct):
Si 0.000 0.000 0.000
W 0.500 0.500 0.500
Br 0.000 0.000 0.500
Br 0.000 0.500 0.000
Br 0.500 0.000 0.000

---

ii:
## SiWBr3 (PBE-GGA)

Data for crystalline SiWBr3 at its relaxed geometry.

Summary:
The calculation puts the density of states at the Fermi level at 4.863 states/eV/cell. Its volume is 28.0 Å³ per atom. The total magnetization is 4.343 μB/f.u.

Cell: 5.195 5.195 5.195 Å, 90.00 90.00 90.00°
Positions (direct):
Si 0.000 0.000 0.000
W 0.500 0.500 0.500
Br 0.000 0.500 0.500
Br 0.500 0.000 0.500
Br 0.500 0.500 0.000

---

Which one sits at the bottom of the stability order? i does.

---

i:
## YSiBr3 (PBE-GGA)

Data for crystalline YSiBr3 at its relaxed geometry.

Summary:
The calculation puts the density of states at the Fermi level at 10.009 states/eV/cell. Its volume is 35.2 Å³ per atom. The total magnetization is 2.000 μB/f.u.

Cell: 5.604 5.604 5.604 Å, 90.00 90.00 90.00°
Positions (direct):
Y 0.000 0.000 0.000
Si 0.500 0.500 0.500
Br 0.000 0.000 0.500
Br 0.000 0.500 0.000
Br 0.500 0.000 0.000

---

ii:
## YSiBr3 (PBE-GGA)

Data for crystalline YSiBr3 at its relaxed geometry.

Summary:
The calculation puts the density of states at the Fermi level at 5.493 states/eV/cell. Its volume is 29.7 Å³ per atom. The total magnetization is 1.702 μB/f.u.

Cell: 5.296 5.296 5.296 Å, 90.00 90.00 90.00°
Positions (direct):
Y 0.000 0.000 0.000
Si 0.500 0.500 0.500
Br 0.000 0.500 0.500
Br 0.500 0.000 0.500
Br 0.500 0.500 0.000

---

Which one sits at the bottom of the stability order? ii does.